Entry from Alexandria: CrGePdO after structural relaxation (GGA+U).

Cell: 5.1749 2.9880 8.3206 Å, 90.00 101.83 90.00°
Space group Cm (No. 8)
Unique sites:
Cr1 0.0000 0.0000 0.0000 (multiplicity 2)
Ge1 0.0103 0.5000 0.5322 (multiplicity 2)
Pd1 0.2619 0.5000 0.2844 (multiplicity 2)
O1 0.1307 0.5000 0.8908 (multiplicity 2)

Output
Energy relative to the lowest polymorph listed for this composition ... 16.3 kJ per mole of atoms
Calculated volume ... 15.741 Å³/atom
Total magnetization ... 3.37 μB per formula unit